{"formula": "Zr2Cl2O", "functional": "PBE-GGA", "state": "relaxed", "cell": [[3.4243, 0.0000, -0.6758], [-0.1176, 6.1898, -0.5958], [0.1969, 0.1687, 10.0107]], "species": ["O", "Cl", "O", "Cl", "Zr", "Zr", "Zr", "Cl", "Zr", "Cl"], "fractional_positions": [[0.2074, 0.5704, 0.4149], [0.0952, 0.1973, 0.1903], [0.7926, 0.4296, 0.5851], [0.9048, 0.8027, 0.8097], [0.1857, 0.9033, 0.3714], [0.8143, 0.0967, 0.6286], [0.3163, 0.6308, 0.6325], [0.4049, 0.2902, 0.8097], [0.6837, 0.3692, 0.3675], [0.5951, 0.7098, 0.1903]], "density_g_cm3": 4.19, "e_tot_ha_per_atom": -0.2631, "spacegroup": "No. 12", "raw_formation_energy_ev_per_atom": -2.009}


{"formula": "Re2IrSeCl", "functional": "PBE-GGA", "state": "relaxed", "cell": [[4.6979, 0.0000, 0.0000], [0.0000, 4.6108, 0.0000], [0.0000, 0.0000, 4.6979]], "species": ["Ir", "Re", "Se", "Cl", "Re"], "fractional_positions": [[0.0000, 0.5000, 0.0000], [0.0000, 0.0000, 0.5000], [0.0000, 0.0000, 0.0000], [0.5000, 0.5000, 0.5000], [0.5000, 0.0000, 0.0000]], "density_g_cm3": 11.08, "e_tot_ha_per_atom": -0.2126, "relative_energy_mev_per_atom": 148, "spacegroup": "No. 123", "raw_formation_energy_ev_per_atom": 2.032}